An optimized crystal structure of InGeAsSe2. Source: the Alexandria database, functional PBE.

The structure belongs to space group P4/mmm (No. 123); the cell edges are 5.389, 5.389 and 5.274 Å and the angles 90.00°, 90.00° and 90.00°. The asymmetric unit holds In at (0.000, 0.000, 0.000), Ge at (0.500, 0.500, 0.500), As at (0.000, 0.000, 0.500) and Se at (0.000, 0.500, 0.000).

The calculation puts the energy above the most stable polymorph in this dataset at 8.66 kcal/mol of atoms. The theoretical density comes out at 4.557 Mg/m³. The value obtained for the final energy is -3.134 eV/atom. The size of the total moment is 0.0 μB per cell. The energy relative to the elements, uncorrected is 661 meV/atom.

---

An optimized crystal structure of Ac2ErTl. Source: the Alexandria database, functional PBE.

The structure belongs to space group P4/mmm (No. 123); the cell edges are 5.211, 5.211 and 5.187 Å and the angles 90.00°, 90.00° and 90.00°. The asymmetric unit holds Ac at (0.000, 0.500, 0.000), Er at (0.000, 0.000, 0.500) and Tl at (0.500, 0.500, 0.500).

The calculation puts the energy above the most stable polymorph in this dataset at 0.18 kcal/mol of atoms. The theoretical density comes out at 9.733 Mg/m³. As for the formation energy: -0.3 eV per formula unit. The value obtained for the final energy is -3.873 eV/atom. The size of the total moment is 0.0 μB per cell.

---

An optimized crystal structure of Sr2InAu. Source: the Alexandria database, functional PBE.

The structure belongs to space group F-43m (No. 216); the cell edges are 7.603, 7.603 and 7.603 Å and the angles 90.00°, 90.00° and 90.00°. The asymmetric unit holds Sr at (0.000, 0.000, 0.000), Sr at (0.250, 0.250, 0.250), In at (0.250, 0.250, 0.750) and Au at (0.000, 0.000, 0.500).

The theoretical density comes out at 7.361 Mg/m³. As for the formation energy: -1.4 eV per formula unit. The value obtained for the final energy is -2.695 eV/atom. The size of the total moment is 0.0 μB per cell.